A crystal of RbZnS2Cl relaxed with PBEsol, computed with SCAN.

Structure (POSCAR):
```
RbZnS2Cl
1.0
-0.569 1.331 -5.740
5.123 -3.100 -1.227
-3.282 -5.085 -0.853
Zn S Rb Cl
1 2 1 1
Direct
0.500 0.500 0.500
0.000 0.000 0.500
0.000 0.500 0.000
0.000 0.000 0.000
0.500 0.000 0.000
```

Summary:
**ρ**: 1.9 g cm⁻³
**DOS at the Fermi energy**: 0.890 states/eV per atom
**Energy relative to the elements, uncorrected**: 0.703 eV/atom